LiMg6Zn6: optimized geometry, PBE.

Lattice parameters (Å, degrees): 7.2883 7.2883 7.2883 137.67 98.71 96.28
Last column: nearest neighbours and their distance in Å.
Element x y z (fractional)
1 Li 0.0000 0.0000 0.0000  8 Mg 3.11-3.35
2 Mg 0.1741 0.5000 0.6741  6 Zn 2.82-2.86, 2 Mg 3.08, 2 Li 3.11
3 Mg 0.3434 0.0000 0.3434  6 Zn 2.90-2.98, 3 Mg 2.97-3.08
4 Mg 0.3444 0.3444 0.0000  6 Zn 2.84-2.87, 1 Mg 3.03
5 Mg 0.6556 0.6556 0.0000  6 Zn 2.84-2.87, 1 Mg 3.03
6 Mg 0.6566 0.0000 0.6566  6 Zn 2.90-2.98, 3 Mg 2.97-3.08
7 Mg 0.8259 0.5000 0.3259  6 Zn 2.82-2.86, 2 Mg 3.08, 2 Li 3.11
8 Zn 0.0000 0.0000 0.5000  4 Zn 2.63-2.72, 6 Mg 2.86-2.90
9 Zn 0.0000 0.5000 0.0000  4 Zn 2.63-2.72, 6 Mg 2.86-2.90
10 Zn 0.2350 0.7350 0.5000  4 Zn 2.72, 6 Mg 2.82-2.98
11 Zn 0.5000 0.0000 0.0000  4 Zn 2.63-2.72, 6 Mg 2.86-2.90
12 Zn 0.5000 0.5000 0.5000  4 Zn 2.63-2.72, 6 Mg 2.86-2.90
13 Zn 0.7650 0.2650 0.5000  4 Zn 2.72, 6 Mg 2.82-2.98

Summary:
* formation enthalpy at 0 K: -78 meV/atom